(1)
Here is a geometry-optimized Ag2W structure from the Alexandria database. Energies are from PBE-GGA.

a = 6.3463 Å, b = 6.3463 Å, c = 6.3463 Å
α = 90.00°, β = 90.00°, γ = 90.00°
Atoms (fractional coordinates):
Ag  0.1258  0.6258  0.8742
Ag  0.1258  0.8742  0.3742
Ag  0.3742  0.1258  0.8742
Ag  0.3742  0.3742  0.3742
Ag  0.6258  0.6258  0.6258
Ag  0.6258  0.8742  0.1258
Ag  0.8742  0.1258  0.6258
Ag  0.8742  0.3742  0.1258
W  0.0000  0.0000  0.0000
W  0.0000  0.5000  0.5000
W  0.5000  0.0000  0.5000
W  0.5000  0.5000  0.0000

Results
- Crystal system: cubic
- ΔH_f (0 K): 1.858 eV per atom
- V: 63.9 Å³/f.u.
- N(E_F): 8.98 states/eV per cell
- Symmetry: No. 205


(2)
Here is a geometry-optimized Ag5W4 structure from the Alexandria database. Energies are from PBE-GGA.

a = 7.1682 Å, b = 7.1682 Å, c = 7.1682 Å
α = 92.90°, β = 92.90°, γ = 153.98°
Atoms (fractional coordinates):
Ag  0.0000  0.0000  0.0000
Ag  0.3337  0.3337  0.6674
Ag  0.3337  0.6663  0.0000
Ag  0.6663  0.3337  0.0000
Ag  0.6663  0.6663  0.3326
W  0.0000  0.3512  0.3512
W  0.0000  0.6488  0.6488
W  0.3512  0.0000  0.3512
W  0.6488  0.0000  0.6488

Results
- Crystal system: tetragonal
- ΔH_f (0 K): 0.503 eV per atom
- V: 157.4 Å³/f.u.
- N(E_F): 4.92 states/eV per cell
- Symmetry: No. 139


(3)
Here is a geometry-optimized AgW3 structure from the Alexandria database. Energies are from PBE-GGA.

a = 4.8412 Å, b = 4.8412 Å, c = 4.8412 Å
α = 129.80°, β = 129.80°, γ = 73.72°
Atoms (fractional coordinates):
Ag  0.0000  0.0000  0.0000
W  0.2500  0.7500  0.5000
W  0.5000  0.5000  0.0000
W  0.7500  0.2500  0.5000

Results
- Crystal system: tetragonal
- ΔH_f (0 K): 0.600 eV per atom
- V: 65.3 Å³/f.u.
- N(E_F): 2.73 states/eV per cell
- Symmetry: No. 139


(4)
Here is a geometry-optimized AgW3 structure from the Alexandria database. Energies are from PBE-GGA.

a = 4.4521 Å, b = 9.1387 Å, c = 6.4636 Å
α = 90.00°, β = 90.00°, γ = 90.00°
Atoms (fractional coordinates):
Ag  0.2496  0.7500  0.6285
Ag  0.2504  0.2500  0.1285
Ag  0.7496  0.7500  0.8715
Ag  0.7504  0.2500  0.3715
W  0.7502  0.2500  0.8598
W  0.2500  0.0029  0.3821
W  0.2500  0.4971  0.3821
W  0.2500  0.5029  0.8821
W  0.2500  0.9971  0.8821
W  0.7498  0.7500  0.3598
W  0.2502  0.2500  0.6402
W  0.7500  0.0029  0.1179
W  0.7500  0.4971  0.1179
W  0.7500  0.5029  0.6179
W  0.7500  0.9971  0.6179
W  0.2498  0.7500  0.1402

Results
- Crystal system: orthorhombic
- ΔH_f (0 K): 0.481 eV per atom
- V: 65.7 Å³/f.u.
- N(E_F): 10.39 states/eV per cell
- Symmetry: No. 63


- Which value of ΔH_f (0 K) does entry 2 give?
  0.503 eV per atom